# K2YNp3O12, optimized geometry, DFT PBE
data_K2YNp3O12
_cell_length_a 7.786
_cell_length_b 7.786
_cell_length_c 7.786
_cell_angle_alpha 61.93
_cell_angle_beta 61.93
_cell_angle_gamma 61.93
_space_group_name_H-M_alt 'P 1'
_space_group_IT_number 1
loop_
_space_group_symop_operation_xyz
'x,y,z'
loop_
_atom_site_label
_atom_site_type_symbol
_atom_site_fract_x
_atom_site_fract_y
_atom_site_fract_z
O1 O 0.342 0.927 0.927
O2 O 0.691 0.691 0.061
O3 O 0.939 0.309 0.309
O4 O 0.309 0.939 0.309
O5 O 0.927 0.342 0.927
O6 O 0.658 0.073 0.073
O7 O 0.073 0.658 0.073
O8 O 0.073 0.073 0.658
O9 O 0.691 0.061 0.691
O10 O 0.309 0.309 0.939
O11 O 0.927 0.927 0.342
O12 O 0.061 0.691 0.691
Y1 Y 0.000 0.000 0.000
Np1 Np 0.500 0.000 0.000
Np2 Np 0.000 0.500 0.000
Np3 Np 0.000 0.000 0.500
K1 K 0.333 0.333 0.333
K2 K 0.667 0.667 0.667
# Mass density   5.1 g/cm3
# Space group   No. 166
# Crystal system   trigonal
# Formation energy (no corrections)   -48.94 eV per formula unit

=====

# Sb2PbAu, optimized geometry, DFT PBE
data_Sb2PbAu
_cell_length_a 4.336
_cell_length_b 4.336
_cell_length_c 7.407
_cell_angle_alpha 72.98
_cell_angle_beta 72.98
_cell_angle_gamma 60.00
_space_group_name_H-M_alt 'P 1'
_space_group_IT_number 1
loop_
_space_group_symop_operation_xyz
'x,y,z'
loop_
_atom_site_label
_atom_site_type_symbol
_atom_site_fract_x
_atom_site_fract_y
_atom_site_fract_z
Au1 Au 0.667 0.667 0.999
Pb1 Pb 0.501 0.501 0.496
Sb1 Sb 0.267 0.267 0.198
Sb2 Sb 0.064 0.064 0.808
# Mass density   9.5 g/cm3
# Space group   No. 160
# Crystal system   trigonal
# Formation energy (no corrections)   0.08 eV per formula unit